First-principles (PBE) data for a relaxed EuMg2Zr crystal, as listed in Alexandria via LeMat-Bulk.

Properties
The calculation puts the volume at 26.0 A^3/atom. The total magnetic moment comes out at 1.8540 μB per atom. For the formation energy from the elements, the calculation gives 0.148 eV per atom.

a = 3.265 Å, b = 3.265 Å, c = 33.817 Å
α = 90.00°, β = 90.00°, γ = 120.00°
Atoms (fractional coordinates):
1 Eu 0.000 0.000 0.000
2 Eu 0.333 0.667 0.667
3 Eu 0.667 0.333 0.333
4 Mg 0.000 0.000 0.245
5 Mg 0.000 0.000 0.755
6 Mg 0.333 0.667 0.422
7 Mg 0.333 0.667 0.911
8 Mg 0.667 0.333 0.089
9 Mg 0.667 0.333 0.578
10 Zr 0.000 0.000 0.500
11 Zr 0.333 0.667 0.167
12 Zr 0.667 0.333 0.833